Sr2CaInS (GGA-PBE, optimized geometry); space group = P4/mmm; DOS at the Fermi energy = 0.9263 states/eV/atom; formation energy from raw total energies = -0.923 eV per atom
1.0
5.760 0.000 0.000
0.000 5.760 0.000
0.000 0.000 5.339
Sr Ca In S
2 1 1 1
Cartesian
0.000 2.880 0.000
2.880 0.000 0.000
0.000 0.000 2.670
2.880 2.880 2.670
0.000 0.000 0.000